1.
Material: LiReAgCl6
Method: DFT, PBE
State: relaxed

Summary:
- calculated density (g/cm3) = 4.07
- uncorrected formation energy (eV per atom) = -0.833
- raw total energy (eV per cell) = -71.58

Unit cell a=6.3796 b=6.3796 c=11.8993 alpha=90.00 beta=90.00 gamma=120.00
With the nearest neighbours (Å) after each atom.
Space group P-31c (No. 163)
Asymmetric unit:
Li1 0.3333 0.6667 0.2500  6 Cl 2.56
Re1 0.3333 0.6667 0.7500  6 Cl 2.38
Ag1 0.0000 0.0000 0.0000  6 Cl 2.79
Cl1 0.0214 0.3688 0.6349  1 Re 2.38, 1 Li 2.56


2.
Material: CaPrNi2As2
Method: DFT, PBE
State: relaxed

Summary:
- calculated density (g/cm3) = 6.22
- formation energy from the elements (eV per atom) = -0.93
- raw total energy (eV per cell) = -33.23

Unit cell a=4.0900 b=4.0900 c=8.2602 alpha=90.00 beta=90.00 gamma=120.00
With the nearest neighbours (Å) after each atom.
Space group P-3m1 (No. 164)
Asymmetric unit:
Ca1 0.0000 0.0000 0.0000  6 As 3.12, 6 Ni 3.15
Pr1 0.0000 0.0000 0.5000  6 Ni 3.12, 6 As 3.15
Ni1 0.3333 0.6667 0.2525  3 As 2.36
As1 0.3333 0.6667 0.7522  3 Ni 2.36


3.
Material: NdIn2Rh2
Method: DFT, PBE
State: relaxed

Summary:
- calculated density (g/cm3) = 8.86
- formation energy from the elements (eV per atom) = -0.52
- raw total energy (eV per cell) = -55.13

Unit cell a=5.1970 b=4.7234 c=9.1092 alpha=90.00 beta=103.53 gamma=90.00
With the nearest neighbours (Å) after each atom.
Space group P2_1/m (No. 11)
Asymmetric unit:
Nd1 0.1845 0.2500 0.2742  6 Rh 3.00-3.24, 1 In 3.27
In1 0.2538 0.2500 0.6399  5 Rh 2.72-2.83
In2 0.3466 0.7500 0.0228  4 Rh 2.63-2.73, 2 In 2.93
Rh1 0.1190 0.2500 0.9112  5 In 2.63-2.73
Rh2 0.3003 0.7500 0.4832  4 In 2.80-2.83, 3 Nd 3.00-3.05, 2 Rh 3.11


4.
Material: Hf2V2Au
Method: DFT, PBE
State: relaxed

Summary:
- calculated density (g/cm3) = 11.50
- formation energy from the elements (eV per atom) = 0.20
- raw total energy (eV per cell) = -80.82

Unit cell a=3.4196 b=3.4196 c=16.1907 alpha=90.00 beta=90.00 gamma=90.00
With the nearest neighbours (Å) after each atom.
Space group I4/mmm (No. 139)
Asymmetric unit:
Hf1 0.0000 0.0000 0.1092  4 V 2.85, 4 Au 3.00
V1 0.0000 0.5000 0.2500  4 V 2.42
Au1 0.0000 0.0000 0.5000  8 Hf 3.00


5.
Material: HfCoSn
Method: DFT, PBE
State: relaxed

Summary:
- calculated density (g/cm3) = 11.13
- formation energy from the elements (eV per atom) = -0.20
- raw total energy (eV per cell) = -43.31

Unit cell a=3.1324 b=3.1324 c=10.8341 alpha=90.00 beta=90.00 gamma=90.00
With the nearest neighbours (Å) after each atom.
Space group I4mm (No. 107)
Asymmetric unit:
Hf1 0.0000 0.0000 0.0000  4 Co 2.69
Co1 0.0000 0.0000 0.3592  4 Hf 2.69, 4 Sn 2.76
Sn1 0.0000 0.0000 0.7079  4 Co 2.76


6.
Material: Cs3Tm2PaS6
Method: DFT, PBE
State: relaxed

Summary:
- calculated density (g/cm3) = 5.56
- uncorrected formation energy (eV per atom) = -1.673
- raw total energy (eV per cell) = -131.67

Unit cell a=7.0375 b=12.1879 c=8.4174 alpha=90.00 beta=106.17 gamma=90.00
With the nearest neighbours (Å) after each atom.
Space group C2/m (No. 12)
Asymmetric unit:
Cs1 0.0000 0.0000 0.0000  6 S 3.48-3.49
Cs2 0.0000 0.3326 0.0000  6 S 3.48-3.50
Tm1 0.0000 0.1666 0.5000  6 S 2.76
Pa1 0.0000 0.5000 0.5000  6 S 2.77
S1 0.2254 0.0000 0.6809  2 Tm 2.76, 1 Pa 2.77
S2 0.2276 0.3325 0.6806  2 Tm 2.76, 1 Pa 2.77


7.
Material: PmNpTaN3
Method: DFT, PBE
State: relaxed

Summary:
- calculated density (g/cm3) = 10.28
- uncorrected formation energy (eV per atom) = -0.924
- raw total energy (eV per cell) = -120.13

Unit cell a=7.2565 b=3.3275 c=8.0974 alpha=90.00 beta=91.15 gamma=90.00
With the nearest neighbours (Å) after each atom.
Space group P2_1/m (No. 11)
Asymmetric unit:
Pm1 0.1343 0.2500 0.1702  7 N 2.59-2.65
Np1 0.3778 0.7500 0.8458  5 N 2.13-2.37
Ta1 0.1379 0.2500 0.5740  4 N 2.10-2.18
N1 0.1456 0.2500 0.8429  1 Ta 2.18, 2 Np 2.37
N2 0.1562 0.7500 0.4165  3 Ta 2.10-2.14
N3 0.3967 0.7500 0.1082  3 Np 2.13-2.36


8.
Material: La2TmGe3Ir4
Method: DFT, PBE
State: relaxed

Summary:
- calculated density (g/cm3) = 11.85
- formation energy from the elements (eV per atom) = -0.83
- raw total energy (eV per cell) = -71.97

Unit cell a=4.2286 b=4.2286 c=11.2341 alpha=90.00 beta=90.00 gamma=90.00
With the nearest neighbours (Å) after each atom.
Space group P-4m2 (No. 115)
Asymmetric unit:
La1 0.0000 0.5000 0.2349  8 Ir 3.23-3.38, 4 Ge 3.25
Tm1 0.0000 0.0000 0.5000  4 Ir 2.75, 4 Ge 2.99
Ge1 0.0000 0.5000 0.8791  5 Ir 2.50-2.51
Ge2 0.5000 0.5000 0.5000  4 Ir 2.75, 4 Tm 2.99
Ir1 0.0000 0.0000 0.0000  4 Ge 2.51
Ir2 0.0000 0.5000 0.6566  3 Ge 2.50-2.75, 2 Tm 2.75
Ir3 0.5000 0.5000 0.0000  4 Ge 2.51


- What is the formula in the seventh record?
  PmNpTaN3


- Which of these has the highest raw total energy?
  CaPrNi2As2


- What is the formula in the third record?
  NdIn2Rh2


Repeat the first record exactly.
Material: LiReAgCl6
Method: DFT, PBE
State: relaxed

Summary:
- calculated density (g/cm3) = 4.07
- uncorrected formation energy (eV per atom) = -0.833
- raw total energy (eV per cell) = -71.58

Unit cell a=6.3796 b=6.3796 c=11.8993 alpha=90.00 beta=90.00 gamma=120.00
With the nearest neighbours (Å) after each atom.
Space group P-31c (No. 163)
Asymmetric unit:
Li1 0.3333 0.6667 0.2500  6 Cl 2.56
Re1 0.3333 0.6667 0.7500  6 Cl 2.38
Ag1 0.0000 0.0000 0.0000  6 Cl 2.79
Cl1 0.0214 0.3688 0.6349  1 Re 2.38, 1 Li 2.56